(1)
# TmTe2Rh, optimized geometry, DFT PBE-GGA
data_TmTe2Rh
_chemical_formula_sum 'Tm3 Te6 Rh3'
_space_group_name_H-M_alt 'R -3 m'
_space_group_IT_number 166
_space_group_name_Hall '-R 3 2"'
_cell_length_a 3.9302
_cell_length_b 3.9302
_cell_length_c 26.4871
_cell_angle_alpha 90.00
_cell_angle_beta 90.00
_cell_angle_gamma 120.00
loop_
_atom_site_label
_atom_site_fract_x
_atom_site_fract_y
_atom_site_fract_z
_atom_site_occupancy
Tm1 0.0000 0.0000 0.0000 1
Te1 0.0000 0.0000 0.1136 1
Rh1 0.0000 0.0000 0.5000 1
# **ΔE_f (raw)**: -112 kJ/mol of formula units
# **Density of states at the Fermi level**: 0.4458 states/eV/atom
# **Raw total energy**: -4.817 eV per atom

***

(2)
# Na2MgTcN, optimized geometry, DFT PBE-GGA
data_Na2MgTcN
_chemical_formula_sum 'Na2 Mg1 Tc1 N1'
_space_group_name_H-M_alt 'P 4/m m m'
_space_group_IT_number 123
_space_group_name_Hall '-P 4 2'
_cell_length_a 5.463
_cell_length_b 5.463
_cell_length_c 4.967
_cell_angle_alpha 90.00
_cell_angle_beta 90.00
_cell_angle_gamma 90.00
loop_
_atom_site_label
_atom_site_fract_x
_atom_site_fract_y
_atom_site_fract_z
_atom_site_occupancy
Na1 0.000 0.500 0.000 1
Mg1 0.000 0.000 0.000 1
Tc1 0.000 0.000 0.500 1
N1 0.500 0.500 0.500 1
# **ΔE_f (raw)**: 990 kJ/mol of formula units
# **Density of states at the Fermi level**: 0.5949 states/eV/atom
# **Raw total energy**: -2.532 eV per atom

***

(3)
# TlCu, optimized geometry, DFT PBE-GGA
data_TlCu
_chemical_formula_sum 'Tl6 Cu6'
_space_group_name_H-M_alt 'C 1 m 1'
_space_group_IT_number 8
_cell_length_a 13.486
_cell_length_b 3.171
_cell_length_c 6.729
_cell_angle_alpha 90.00
_cell_angle_beta 119.40
_cell_angle_gamma 90.00
loop_
_space_group_symop_operation_xyz
'x,y,z'
'x,-y,z'
'x+1/2,y+1/2,z'
'x+1/2,-y+1/2,z'
loop_
_atom_site_label
_atom_site_fract_x
_atom_site_fract_y
_atom_site_fract_z
_atom_site_occupancy
Tl1 0.000 0.000 0.000 1
Tl2 0.047 0.000 0.538 1
Tl3 0.257 0.500 0.112 1
Cu1 0.212 0.500 0.473 1
Cu2 0.286 0.000 0.804 1
Cu3 0.372 0.000 0.547 1
# **E_form**: 47.0 kJ/mol of formula units
# **Density of states at the Fermi level**: 0.2792 states/eV/atom
# **Raw total energy**: -2.988 eV per atom

***

(4)
# Ta4SiBr, optimized geometry, DFT PBE-GGA
data_Ta4SiBr
_chemical_formula_sum 'Ta16 Si4 Br4'
_space_group_name_H-M_alt 'F -4 3 m'
_space_group_IT_number 216
_space_group_name_Hall 'F -4 2 3'
_cell_length_a 7.799
_cell_length_b 7.799
_cell_length_c 7.799
_cell_angle_alpha 90.00
_cell_angle_beta 90.00
_cell_angle_gamma 90.00
loop_
_atom_site_label
_atom_site_fract_x
_atom_site_fract_y
_atom_site_fract_z
_atom_site_occupancy
Ta1 0.125 0.125 0.125 1
Si1 0.000 0.000 0.500 1
Br1 0.250 0.250 0.750 1
# **ΔE_f (raw)**: 503 kJ/mol of formula units
# **Density of states at the Fermi level**: 0.7898 states/eV/atom
# **Raw total energy**: -8.216 eV per atom